[1]
# CrSnPt, optimized geometry, DFT PBE-GGA
# DFT total energy, eV per atom: -6.62
# ΔH_f (0 K), eV per atom: -0.0658
data_CrSnPt
_chemical_formula_sum 'Cr2 Sn2 Pt2'
_space_group_name_H-M_alt 'P -1'
_space_group_IT_number 2
_cell_length_a 3.451
_cell_length_b 4.441
_cell_length_c 7.019
_cell_angle_alpha 108.16
_cell_angle_beta 90.65
_cell_angle_gamma 90.70
loop_
_space_group_symop_operation_xyz
'x,y,z'
'-x,-y,-z'
loop_
_atom_site_label
_atom_site_type_symbol
_atom_site_fract_x
_atom_site_fract_y
_atom_site_fract_z
_atom_site_occupancy
Cr1 Cr 0.230 0.353 0.020 1
Sn1 Sn 0.254 0.003 0.283 1
Pt1 Pt 0.256 0.445 0.656 1


[2]
# YFe2Pb, optimized geometry, DFT PBE-GGA
# DFT total energy, eV per atom: -6.47
# ΔH_f (0 K), eV per atom: 0.3018
data_YFe2Pb
_chemical_formula_sum 'Y1 Fe2 Pb1'
_space_group_name_H-M_alt 'P 4/m m m'
_space_group_IT_number 123
_space_group_name_Hall '-P 4 2'
_cell_length_a 3.541
_cell_length_b 3.541
_cell_length_c 6.281
_cell_angle_alpha 90.00
_cell_angle_beta 90.00
_cell_angle_gamma 90.00
loop_
_atom_site_label
_atom_site_type_symbol
_atom_site_fract_x
_atom_site_fract_y
_atom_site_fract_z
_atom_site_occupancy
Y1 Y 0.000 0.000 0.000 1
Fe1 Fe 0.500 0.500 0.293 1
Pb1 Pb 0.000 0.000 0.500 1


[3]
# Nb2TcW, optimized geometry, DFT PBE-GGA
# DFT total energy, eV per atom: -10.21
# ΔH_f (0 K), eV per atom: 0.6497
data_Nb2TcW
_chemical_formula_sum 'Nb8 Tc4 W4'
_space_group_name_H-M_alt 'I -4 2 d'
_space_group_IT_number 122
_space_group_name_Hall 'I -4 2bw'
_cell_length_a 7.242
_cell_length_b 7.242
_cell_length_c 5.469
_cell_angle_alpha 90.00
_cell_angle_beta 90.00
_cell_angle_gamma 90.00
loop_
_atom_site_label
_atom_site_type_symbol
_atom_site_fract_x
_atom_site_fract_y
_atom_site_fract_z
_atom_site_occupancy
Nb1 Nb 0.238 0.250 0.125 1
Tc1 Tc 0.000 0.000 0.000 1
W1 W 0.000 0.000 0.500 1